# 1
Material: Nd4TlPt2
Method: DFT, GGA-PBE
State: optimized geometry

abc: 4.9108 4.9108 10.3347
angles: 76.26 76.26 60.00
Atoms (fractional coordinates):
Nd: 0.3856 0.3856 0.8433
Nd: 0.2030 0.2030 0.3911
Nd: 0.7970 0.7970 0.6089
Nd: 0.6144 0.6144 0.1567
Tl: 0.0000 0.0000 0.0000
Pt: 0.1016 0.1016 0.6951
Pt: 0.8984 0.8984 0.3049

The space group is R-3m (166). The calculation puts the formation energy at -0.664 eV per atom.

***

# 2
Material: NdTmTlPt
Method: DFT, GGA-PBE
State: optimized geometry

abc: 5.2063 5.2063 5.2063
angles: 60.00 60.00 60.00
Atoms (fractional coordinates):
Tl: 0.2500 0.2500 0.2500
Tm: 0.0000 0.0000 0.0000
Nd: 0.5000 0.5000 0.5000
Pt: 0.7500 0.7500 0.7500

The space group is F-43m (216). The calculation puts the formation energy at -0.643 eV per atom.

***

# 3
Material: NdYTlPt
Method: DFT, GGA-PBE
State: optimized geometry

abc: 5.2415 5.2415 5.2415
angles: 60.00 60.00 60.00
Atoms (fractional coordinates):
Y: 0.5000 0.5000 0.5000
Tl: 0.2500 0.2500 0.2500
Nd: 0.0000 0.0000 0.0000
Pt: 0.7500 0.7500 0.7500

The space group is F-43m (216). The calculation puts the formation energy at -0.646 eV per atom.

***

# 4
Material: NdTlZnPt
Method: DFT, GGA-PBE
State: optimized geometry

abc: 4.9690 4.9690 4.9690
angles: 60.00 60.00 60.00
Atoms (fractional coordinates):
Tl: 0.5000 0.5000 0.5000
Nd: 0.0000 0.0000 0.0000
Zn: 0.2500 0.2500 0.2500
Pt: 0.7500 0.7500 0.7500

The space group is F-43m (216). The calculation puts the formation energy at -0.466 eV per atom.

***

# 5
Material: NdTmPt
Method: DFT, GGA-PBE
State: optimized geometry

abc: 7.2036 6.6892 7.1327
angles: 96.06 90.00 90.00
Atoms (fractional coordinates):
Pt: 0.5542 0.7217 0.3075
Pt: 0.9458 0.7217 0.8075
Pt: 0.0542 0.2783 0.1925
Pt: 0.4458 0.2783 0.6925
Tm: 0.8781 0.9081 0.2021
Tm: 0.6219 0.9081 0.7021
Tm: 0.3781 0.0919 0.2979
Tm: 0.1219 0.0919 0.7979
Nd: 0.2626 0.5770 0.0030
Nd: 0.2374 0.5770 0.5030
Nd: 0.7626 0.4230 0.4970
Nd: 0.7374 0.4230 0.9970

The space group is P2_1/c (14). Its energy above the most stable polymorph in this dataset is 0.079 eV per atom. The calculation puts the formation energy at -0.827 eV per atom.

***

# 6
Material: NdTmPt2
Method: DFT, GGA-PBE
State: optimized geometry

abc: 3.5114 3.5114 7.1274
angles: 90.00 90.00 90.00
Atoms (fractional coordinates):
Tm: 0.5000 0.5000 0.0000
Nd: 0.5000 0.5000 0.5000
Pt: 0.0000 0.0000 0.7724
Pt: 0.0000 0.0000 0.2276

The space group is P4/mmm (123). Its energy above the most stable polymorph in this dataset is 0.062 eV per atom. The calculation puts the formation energy at -1.155 eV per atom.

***

# 7
Material: NdTmPt
Method: DFT, GGA-PBE
State: optimized geometry

abc: 4.2750 4.6517 4.6517
angles: 120.00 90.00 90.00
Atoms (fractional coordinates):
Tm: 0.2270 0.3333 0.6667
Nd: 0.7139 0.6667 0.3333
Pt: 0.0591 0.0000 0.0000

The space group is P3m1 (156). Its energy above the most stable polymorph in this dataset is 0.231 eV per atom. The calculation puts the formation energy at -0.675 eV per atom.

***

# 8
Material: NdTm2Pt
Method: DFT, GGA-PBE
State: optimized geometry

abc: 3.8375 3.8375 9.6586
angles: 78.54 78.54 60.00
Atoms (fractional coordinates):
Tm: 0.2741 0.2741 0.1776
Tm: 0.7259 0.7259 0.8224
Nd: 0.5000 0.5000 0.5000
Pt: 0.0000 0.0000 0.0000

The space group is R-3m (166). Its energy above the most stable polymorph in this dataset is 0.166 eV per atom. The calculation puts the formation energy at -0.540 eV per atom.

***

Which theoretical density belongs to each record? In order, 9.373; 11.859; 10.316; 11.659; 9.878; 13.290; 10.535; 9.379 g/cm³.
Which spin magnetization belongs to each record? In order, 0.00; 0.00; 0.00; 0.00; 0.00; 0.00; 0.00; 0.00 μB/f.u..
Which total energy belongs to each record? In order, -5.4522; -5.0549; -5.5559; -4.0783; -5.9202; -6.4851; -5.7686; -5.4777 eV/atom.